A relaxed La2Pm4YEr2 crystal, computed with GGA-PBE.

a = 9.6743 Å, b = 9.6743 Å, c = 9.7266 Å
α = 115.29°, β = 115.29°, γ = 21.87°
Fractional positions:
La1 0.1663 0.1663 0.4978
La2 0.8337 0.8337 0.5022
Pm1 0.0191 0.0191 0.8379
Pm2 0.3138 0.3138 0.1648
Pm3 0.6862 0.6862 0.8352
Pm4 0.9809 0.9809 0.1621
Y1 0.5000 0.5000 0.5000
Er1 0.3522 0.3522 0.8347
Er2 0.6478 0.6478 0.1653

Values from the calculation:
Electronic total energy: -44.40 eV/cell



A relaxed LaPm6Y2Er3 crystal, computed with GGA-PBE.

a = 6.2630 Å, b = 6.2630 Å, c = 11.9212 Å
α = 95.02°, β = 95.02°, γ = 120.00°
Fractional positions:
La1 0.0000 0.0000 0.0000
Pm1 0.0847 0.4186 0.2543
Pm2 0.2490 0.2490 0.7455
Pm3 0.4186 0.0847 0.2543
Pm4 0.5814 0.9153 0.7457
Pm5 0.7510 0.7510 0.2545
Pm6 0.9153 0.5814 0.7457
Y1 0.3335 0.6665 0.0000
Y2 0.6665 0.3335 0.0000
Er1 0.1671 0.8329 0.5000
Er2 0.5000 0.5000 0.5000
Er3 0.8329 0.1671 0.5000

Values from the calculation:
Electronic total energy: -59.83 eV/cell



A relaxed La3PmY6Er2 crystal, computed with GGA-PBE.

a = 6.2601 Å, b = 6.2601 Å, c = 11.9149 Å
α = 95.02°, β = 95.02°, γ = 120.00°
Fractional positions:
La1 0.0000 0.0000 0.0000
La2 0.3332 0.6668 0.0000
La3 0.6668 0.3332 0.0000
Pm1 0.5000 0.5000 0.5000
Y1 0.0845 0.4184 0.2552
Y2 0.2476 0.2476 0.7450
Y3 0.4184 0.0845 0.2552
Y4 0.5816 0.9155 0.7448
Y5 0.7524 0.7524 0.2550
Y6 0.9155 0.5816 0.7448
Er1 0.1667 0.8333 0.5000
Er2 0.8333 0.1667 0.5000

Values from the calculation:
Electronic total energy: -67.21 eV/cell



Per-record calculated volume, Å³/atom: 33.93, 33.23, 33.18
Per-record size of the total moment, μB/atom: 0.00, 0.00, 0.00
Per-record energy of formation, eV/atom: 0.0049, 0.0185, 0.0196